1.
Computed, not measured: a geometry-optimized NaSr structure at the GGA-PBE level of DFT.

## Properties
- electronic total energy (eV per atom) = -0.8562
- energy above the most stable polymorph in this dataset (meV per atom) = 621
- Fermi-level density of states (states/eV/cell) = 10.1
- energy of formation (eV/atom) = 0.6442
- space-group type = No. 223

Unit cell a=10.5466 b=10.5466 c=10.5466 alpha=90.00 beta=90.00 gamma=90.00
With the nearest neighbours (Å) after each atom.
Fractional coordinates of all 12 atoms:
Na 0.0000 0.5000 0.7500  4 Sr 3.73
Na 0.2500 0.0000 0.5000  4 Sr 3.73
Na 0.5000 0.2500 0.0000  4 Sr 3.73
Na 0.5000 0.7500 0.0000  4 Sr 3.73
Na 0.0000 0.5000 0.2500  4 Sr 3.73
Na 0.7500 0.0000 0.5000  4 Sr 3.73
Sr 0.0000 0.2500 0.5000  4 Na 3.73
Sr 0.2500 0.5000 0.0000  4 Na 3.73
Sr 0.5000 0.0000 0.7500  4 Na 3.73
Sr 0.5000 0.0000 0.2500  4 Na 3.73
Sr 0.0000 0.7500 0.5000  4 Na 3.73
Sr 0.7500 0.5000 0.0000  4 Na 3.73

2.
Computed, not measured: a geometry-optimized Na5Sr3 structure at the GGA-PBE level of DFT.

## Properties
- electronic total energy (eV per atom) = -1.4267
- energy above the most stable polymorph in this dataset (meV per atom) = 13
- Fermi-level density of states (states/eV/cell) = 6.7
- energy of formation (eV/atom) = 0.0284
- space-group type = No. 123

Unit cell a=4.3339 b=4.3339 c=18.5500 alpha=90.00 beta=90.00 gamma=90.00
With the nearest neighbours (Å) after each atom.
Fractional coordinates of all 8 atoms:
Na 0.0000 0.0000 0.0000  8 Sr 3.88, 4 Na 4.33
Na 0.0000 0.0000 0.7351  4 Na 3.57, 4 Sr 3.97
Na 0.0000 0.0000 0.2649  4 Na 3.57, 4 Sr 3.97
Na 0.5000 0.5000 0.6365  4 Na 3.57, 4 Sr 3.98
Na 0.5000 0.5000 0.3635  4 Na 3.57, 4 Sr 3.98
Sr 0.5000 0.5000 0.8714  8 Na 3.88-3.97, 4 Sr 4.33
Sr 0.5000 0.5000 0.1286  8 Na 3.88-3.97, 4 Sr 4.33
Sr 0.0000 0.0000 0.5000  10 Na 3.98-4.36, 4 Sr 4.33

3.
Computed, not measured: a geometry-optimized Na3Sr structure at the GGA-PBE level of DFT.

## Properties
- electronic total energy (eV per atom) = -1.3543
- Fermi-level density of states (states/eV/cell) = 2.5
- energy of formation (eV/atom) = 0.0555
- space-group type = No. 139

Unit cell a=5.3994 b=5.3994 c=6.9348 alpha=112.91 beta=112.91 gamma=90.00
With the nearest neighbours (Å) after each atom.
Fractional coordinates of all 4 atoms:
Na 0.5000 0.5000 0.0000  4 Sr 3.82, 8 Na 3.96
Na 0.2500 0.7500 0.5000  8 Na 3.82-3.96, 4 Sr 3.96
Na 0.7500 0.2500 0.5000  8 Na 3.82-3.96, 4 Sr 3.96
Sr 0.0000 0.0000 0.0000  12 Na 3.82-3.96

4.
Computed, not measured: a geometry-optimized Na3Sr7 structure at the GGA-PBE level of DFT.

## Properties
- electronic total energy (eV per atom) = -1.5258
- energy above the most stable polymorph in this dataset (meV per atom) = 14
- Fermi-level density of states (states/eV/cell) = 18.8
- energy of formation (eV/atom) = 0.0472
- space-group type = No. 186

Unit cell a=8.0238 b=12.0692 c=12.0692 alpha=120.00 beta=90.00 gamma=90.00
With the nearest neighbours (Å) after each atom.
Fractional coordinates of all 20 atoms:
Sr 0.1698 0.4687 0.5313  4 Na 3.70-3.94, 1 Sr 4.10
Sr 0.4256 0.7538 0.8769  3 Na 3.80-3.91
Sr 0.4256 0.1231 0.8769  3 Na 3.80-3.91
Sr 0.6698 0.5313 0.4687  4 Na 3.70-3.94, 1 Sr 4.10
Sr 0.9256 0.8769 0.7538  3 Na 3.80-3.91
Sr 0.6698 0.5313 0.0626  4 Na 3.70-3.94, 1 Sr 4.10
Sr 0.4256 0.1231 0.2462  3 Na 3.80-3.91
Sr 0.5393 0.3333 0.6667  3 Na 3.69, 3 Sr 4.10
Sr 0.6698 0.9374 0.4687  4 Na 3.70-3.94, 1 Sr 4.10
Sr 0.9256 0.2462 0.1231  3 Na 3.80-3.91
Sr 0.0393 0.6667 0.3333  3 Na 3.69, 3 Sr 4.10
Sr 0.9256 0.8769 0.1231  3 Na 3.80-3.91
Sr 0.1698 0.0626 0.5313  4 Na 3.70-3.94, 1 Sr 4.10
Sr 0.1698 0.4687 0.9374  4 Na 3.70-3.94, 1 Sr 4.10
Na 0.3608 0.4136 0.2068  8 Sr 3.69-3.94
Na 0.3608 0.7932 0.5864  8 Sr 3.69-3.94
Na 0.3608 0.7932 0.2068  8 Sr 3.69-3.94
Na 0.8608 0.2068 0.7932  8 Sr 3.69-3.94
Na 0.8608 0.5864 0.7932  8 Sr 3.69-3.94
Na 0.8608 0.2068 0.4136  8 Sr 3.69-3.94

5.
Computed, not measured: a geometry-optimized NaSr structure at the GGA-PBE level of DFT.

## Properties
- electronic total energy (eV per atom) = -1.4167
- energy above the most stable polymorph in this dataset (meV per atom) = 61
- Fermi-level density of states (states/eV/cell) = 15.4
- energy of formation (eV/atom) = 0.0838
- space-group type = No. 87

Unit cell a=13.5529 b=13.5529 c=4.1259 alpha=90.00 beta=90.00 gamma=90.00
With the nearest neighbours (Å) after each atom.
Fractional coordinates of all 16 atoms:
Na 0.8494 0.4623 0.5000  4 Na 3.62, 5 Sr 3.95-4.01
Na 0.1506 0.5377 0.5000  4 Na 3.62, 5 Sr 3.95-4.01
Na 0.4623 0.1506 0.5000  4 Na 3.62, 5 Sr 3.95-4.01
Na 0.3494 0.9623 0.0000  4 Na 3.62, 5 Sr 3.95-4.01
Na 0.5377 0.8494 0.5000  4 Na 3.62, 5 Sr 3.95-4.01
Na 0.6506 0.0377 0.0000  4 Na 3.62, 5 Sr 3.95-4.01
Na 0.9623 0.6506 0.0000  4 Na 3.62, 5 Sr 3.95-4.01
Na 0.0377 0.3494 0.0000  4 Na 3.62, 5 Sr 3.95-4.01
Sr 0.3337 0.3629 0.0000  5 Na 3.95-4.01, 6 Sr 4.13-4.33
Sr 0.1371 0.8337 0.5000  5 Na 3.95-4.01, 6 Sr 4.13-4.33
Sr 0.3629 0.6663 0.0000  5 Na 3.95-4.01, 6 Sr 4.13-4.33
Sr 0.6663 0.6371 0.0000  5 Na 3.95-4.01, 6 Sr 4.13-4.33
Sr 0.6371 0.3337 0.0000  5 Na 3.95-4.01, 6 Sr 4.13-4.33
Sr 0.8629 0.1663 0.5000  5 Na 3.95-4.01, 6 Sr 4.13-4.33
Sr 0.1663 0.1371 0.5000  5 Na 3.95-4.01, 6 Sr 4.13-4.33
Sr 0.8337 0.8629 0.5000  5 Na 3.95-4.01, 6 Sr 4.13-4.33

6.
Computed, not measured: a geometry-optimized NaSr2 structure at the GGA-PBE level of DFT.

## Properties
- electronic total energy (eV per atom) = -1.3292
- energy above the most stable polymorph in this dataset (meV per atom) = 223
- Fermi-level density of states (states/eV/cell) = 5.1
- energy of formation (eV/atom) = 0.2317
- space-group type = No. 227

Unit cell a=7.8996 b=7.8996 c=7.8996 alpha=60.00 beta=60.00 gamma=60.00
With the nearest neighbours (Å) after each atom.
Fractional coordinates of all 6 atoms:
Sr 0.1250 0.6250 0.6250  6 Sr 3.95
Sr 0.6250 0.1250 0.6250  6 Sr 3.95
Sr 0.6250 0.6250 0.6250  6 Sr 3.95
Sr 0.6250 0.6250 0.1250  6 Sr 3.95
Na 0.0000 0.0000 0.0000  12 Sr 4.63, 4 Na 4.84
Na 0.2500 0.2500 0.2500  12 Sr 4.63, 4 Na 4.84

7.
Computed, not measured: a geometry-optimized Na11Sr3 structure at the GGA-PBE level of DFT.

## Properties
- electronic total energy (eV per atom) = -1.3614
- Fermi-level density of states (states/eV/cell) = 8.0
- energy of formation (eV/atom) = 0.0354
- space-group type = No. 71

Unit cell a=5.8816 b=10.4391 c=10.4391 alpha=73.74 beta=73.64 gamma=73.64
With the nearest neighbours (Å) after each atom.
Fractional coordinates of all 14 atoms:
Na 0.8561 0.8614 0.4265  6 Na 3.48-3.78
Na 0.1439 0.1386 0.5735  6 Na 3.48-3.78
Na 0.5000 0.6562 0.3438  8 Na 3.42-3.78
Na 0.6407 0.9940 0.7245  5 Na 3.38-3.52
Na 0.5000 0.3438 0.6562  8 Na 3.42-3.78
Na 0.8561 0.4265 0.8614  6 Na 3.48-3.78
Na 0.1439 0.5735 0.1386  6 Na 3.48-3.78
Na 0.3593 0.2755 0.0060  5 Na 3.38-3.52
Na 0.3593 0.0060 0.2755  5 Na 3.38-3.52
Na 0.6407 0.7245 0.9940  5 Na 3.38-3.52
Na 0.0000 0.5000 0.5000  8 Na 3.53
Sr 0.0000 0.0000 0.0000  12 Na 4.04-4.19, 2 Sr 4.42
Sr 0.7175 0.2825 0.2825  12 Na 3.92-4.17
Sr 0.2825 0.7175 0.7175  12 Na 3.92-4.17

8.
Computed, not measured: a geometry-optimized Na7Sr6 structure at the GGA-PBE level of DFT.

## Properties
- electronic total energy (eV per atom) = -1.4777
- Fermi-level density of states (states/eV/cell) = 11.6
- energy of formation (eV/atom) = 0.0087
- space-group type = No. 166

Unit cell a=7.1153 b=7.1153 c=13.9787 alpha=75.26 beta=75.26 gamma=60.00
With the nearest neighbours (Å) after each atom.
Fractional coordinates of all 13 atoms:
Sr 0.5481 0.5481 0.3557  2 Sr 3.86-4.14, 6 Na 3.99
Sr 0.3485 0.3485 0.9544  12 Na 4.10-4.26, 4 Sr 4.14-4.29
Sr 0.8335 0.8335 0.4994  9 Sr 4.11-4.54, 6 Na 4.26
Sr 0.6515 0.6515 0.0456  12 Na 4.10-4.26, 4 Sr 4.14-4.29
Sr 0.1665 0.1665 0.5006  9 Sr 4.11-4.54, 6 Na 4.26
Sr 0.4519 0.4519 0.6443  2 Sr 3.86-4.14, 6 Na 3.99
Na 0.0000 0.0000 0.0000  6 Na 3.61
Na 0.9056 0.4097 0.7790  5 Na 3.53-3.61
Na 0.4097 0.9056 0.7790  5 Na 3.53-3.61
Na 0.5903 0.0944 0.2210  5 Na 3.53-3.61
Na 0.0944 0.0944 0.2210  5 Na 3.53-3.61
Na 0.9056 0.9056 0.7790  5 Na 3.53-3.61
Na 0.0944 0.5903 0.2210  5 Na 3.53-3.61

9.
Computed, not measured: a geometry-optimized NaSr structure at the GGA-PBE level of DFT.

## Properties
- electronic total energy (eV per atom) = -1.3287
- energy above the most stable polymorph in this dataset (meV per atom) = 149
- Fermi-level density of states (states/eV/cell) = 4.9
- energy of formation (eV/atom) = 0.1718
- space-group type = No. 38

Unit cell a=6.1793 b=7.5777 c=7.5939 alpha=119.93 beta=90.00 gamma=90.00
With the nearest neighbours (Å) after each atom.
Fractional coordinates of all 6 atoms:
Sr 0.5000 0.8778 0.3301  6 Na 3.72-3.90
Sr 0.0000 0.1095 0.0000  6 Na 3.71-3.87
Sr 0.5000 0.5478 0.6699  6 Na 3.72-3.90
Na 0.0000 0.1880 0.5336  3 Na 3.42-3.81, 3 Sr 3.72-3.79
Na 0.0000 0.6544 0.4664  3 Na 3.42-3.81, 3 Sr 3.72-3.79
Na 0.0000 0.6204 0.0000  2 Na 3.42, 1 Sr 3.71

10.
Computed, not measured: a geometry-optimized NaSr structure at the GGA-PBE level of DFT.

## Properties
- electronic total energy (eV per atom) = -1.3502
- energy above the most stable polymorph in this dataset (meV per atom) = 127
- Fermi-level density of states (states/eV/cell) = 11.9
- energy of formation (eV/atom) = 0.1502
- space-group type = No. 176

Unit cell a=13.4956 b=13.4956 c=3.8802 alpha=90.00 beta=90.00 gamma=120.00
With the nearest neighbours (Å) after each atom.
Fractional coordinates of all 12 atoms:
Sr 0.5230 0.1457 0.2500  6 Sr 3.88-4.14, 4 Na 3.91-4.12
Sr 0.6227 0.4770 0.2500  6 Sr 3.88-4.14, 4 Na 3.91-4.12
Sr 0.3773 0.5230 0.7500  6 Sr 3.88-4.14, 4 Na 3.91-4.12
Sr 0.1457 0.6227 0.7500  6 Sr 3.88-4.14, 4 Na 3.91-4.12
Sr 0.8543 0.3773 0.2500  6 Sr 3.88-4.14, 4 Na 3.91-4.12
Sr 0.4770 0.8543 0.7500  6 Sr 3.88-4.14, 4 Na 3.91-4.12
Na 0.7178 0.7734 0.7500  6 Na 3.88-4.00, 4 Sr 3.91-4.12
Na 0.9443 0.7178 0.2500  6 Na 3.88-4.00, 4 Sr 3.91-4.12
Na 0.0557 0.2822 0.7500  6 Na 3.88-4.00, 4 Sr 3.91-4.12
Na 0.2822 0.2266 0.2500  6 Na 3.88-4.00, 4 Sr 3.91-4.12
Na 0.2266 0.9443 0.7500  6 Na 3.88-4.00, 4 Sr 3.91-4.12
Na 0.7734 0.0557 0.2500  6 Na 3.88-4.00, 4 Sr 3.91-4.12

11.
Computed, not measured: a geometry-optimized Na5Sr7 structure at the GGA-PBE level of DFT.

## Properties
- electronic total energy (eV per atom) = -1.4891
- energy above the most stable polymorph in this dataset (meV per atom) = 0
- Fermi-level density of states (states/eV/cell) = 9.0
- energy of formation (eV/atom) = 0.0416
- space-group type = No. 12

Unit cell a=6.3119 b=7.7900 c=13.4437 alpha=75.74 beta=76.42 gamma=66.10
With the nearest neighbours (Å) after each atom.
Fractional coordinates of all 12 atoms:
Na 0.7567 0.2541 0.2324  2 Na 3.76-3.79, 6 Sr 3.79-4.17
Na 0.1764 0.1202 0.5271  3 Na 3.72-3.76, 6 Sr 3.82-4.15
Na 0.2433 0.7459 0.7676  2 Na 3.76-3.79, 6 Sr 3.79-4.17
Na 0.0000 0.0000 0.0000  2 Na 3.79, 6 Sr 3.87-4.17
Na 0.8236 0.8798 0.4729  3 Na 3.72-3.76, 6 Sr 3.82-4.15
Sr 0.3481 0.3185 0.9853  3 Na 3.80-3.87, 5 Sr 4.07-4.24
Sr 0.9121 0.4339 0.7418  5 Na 3.87-4.32, 4 Sr 4.21-4.33
Sr 0.6519 0.6815 0.0147  3 Na 3.80-3.87, 5 Sr 4.07-4.24
Sr 0.6099 0.0439 0.7363  5 Na 3.79-4.15, 5 Sr 4.07-4.21
Sr 0.5000 0.5000 0.5000  6 Sr 4.08-4.43, 8 Na 4.13-4.49
Sr 0.0879 0.5661 0.2582  5 Na 3.87-4.32, 4 Sr 4.21-4.33
Sr 0.3901 0.9561 0.2637  5 Na 3.79-4.15, 5 Sr 4.07-4.21

12.
Computed, not measured: a geometry-optimized NaSr3 structure at the GGA-PBE level of DFT.

## Properties
- electronic total energy (eV per atom) = -1.4662
- Fermi-level density of states (states/eV/cell) = 4.4
- energy of formation (eV/atom) = 0.1250
- space-group type = No. 25

Unit cell a=4.0830 b=3.9610 c=12.9533 alpha=90.00 beta=90.00 gamma=90.00
With the nearest neighbours (Å) after each atom.
Fractional coordinates of all 4 atoms:
Sr 0.0000 0.5000 0.4658  10 Sr 3.96-4.26
Sr 0.5000 0.5000 0.1883  6 Sr 3.96-4.13, 4 Na 4.02
Sr 0.5000 0.0000 0.7102  2 Na 3.93, 8 Sr 3.96-4.26
Na 0.0000 0.0000 0.9691  6 Sr 3.93-4.02, 4 Na 3.96-4.08